Entry from the Alexandria database: a relaxed structure of ZrRe2Ru (PBE).

Results
- calculated formation energy (eV per atom) = 0.041
- electronic total energy (eV/atom) = -10.64
- space group = P4mm
- magnetic moment (μB per formula unit) = 0.0

Unit cell a=2.8601 b=2.8601 c=7.9994 alpha=90.00 beta=90.00 gamma=90.00
With the nearest neighbours (Å) after each atom.
Atoms (fractional coordinates):
Zr  0.0000  0.0000  0.0000  4 Zr 2.86, 4 Ru 2.99, 4 Re 3.01
Re  0.0000  0.0000  0.5098  4 Ru 2.66, 8 Re 2.74-2.86
Re  0.5000  0.5000  0.2792  8 Re 2.74-2.86, 4 Zr 3.01
Ru  0.5000  0.5000  0.7248  4 Re 2.66, 4 Ru 2.86

---

Entry from the Alexandria database: a relaxed structure of TmThPaSn (PBE).

Results
- calculated formation energy (eV per atom) = 0.050
- electronic total energy (eV/atom) = -6.30
- space group = F-43m
- magnetic moment (μB per formula unit) = 1.9

Unit cell a=5.3868 b=5.3868 c=5.3868 alpha=60.00 beta=60.00 gamma=60.00
With the nearest neighbours (Å) after each atom.
Atoms (fractional coordinates):
Tm  0.0000  0.0000  0.0000  4 Sn 3.30, 4 Pa 3.30
Th  0.5000  0.5000  0.5000  4 Pa 3.30, 4 Sn 3.30
Pa  0.7500  0.7500  0.7500  4 Th 3.30, 4 Tm 3.30
Sn  0.2500  0.2500  0.2500  4 Th 3.30, 4 Tm 3.30

---

Entry from the Alexandria database: a relaxed structure of CsGeAsCl2 (PBE).

Results
- raw formation energy (eV/atom) = -0.423
- electronic total energy (eV/atom) = -3.19
- space group = P4/mmm
- magnetic moment (μB per formula unit) = 0.9

Unit cell a=5.7619 b=5.7619 c=4.8885 alpha=90.00 beta=90.00 gamma=90.00
With the nearest neighbours (Å) after each atom.
Atoms (fractional coordinates):
Cs  0.0000  0.0000  0.0000  8 Cl 3.78, 4 Ge 4.07
Ge  0.5000  0.5000  0.0000  2 As 2.44
As  0.5000  0.5000  0.5000  2 Ge 2.44
Cl  0.0000  0.5000  0.5000  2 As 2.88
Cl  0.5000  0.0000  0.5000  2 As 2.88

---

Entry from the Alexandria database: a relaxed structure of Ca2PrReN4 (PBE).

Results
- raw formation energy (eV/atom) = -0.719
- electronic total energy (eV/atom) = -7.54
- space group = Cmcm
- magnetic moment (μB per formula unit) = 0.0

Unit cell a=6.2417 b=6.2417 c=12.1543 alpha=90.00 beta=90.00 gamma=147.92
With the nearest neighbours (Å) after each atom.
Atoms (fractional coordinates):
Ca  0.1252  0.8748  0.5345  3 N 2.33-2.37
Ca  0.1252  0.8748  0.9655  3 N 2.33-2.37
Ca  0.8748  0.1252  0.0345  3 N 2.33-2.37
Ca  0.8748  0.1252  0.4655  3 N 2.33-2.37
Pr  0.4239  0.5761  0.7500  2 N 2.60
Pr  0.5761  0.4239  0.2500  2 N 2.60
Re  0.3206  0.6794  0.2500  2 N 1.81
Re  0.6794  0.3206  0.7500  2 N 1.81
N  0.0862  0.9138  0.7500  2 Re 2.06
N  0.2314  0.7686  0.1298  1 Re 1.81
N  0.2314  0.7686  0.3702  1 Re 1.81
N  0.5000  0.5000  0.0000  4 Ca 2.33
N  0.5000  0.5000  0.5000  4 Ca 2.33
N  0.7686  0.2314  0.6298  1 Re 1.81
N  0.7686  0.2314  0.8702  1 Re 1.81
N  0.9138  0.0862  0.2500  2 Re 2.06